[1]
Computed, not measured: an optimized crystal structure of Ac2NdTmSe4 at the PBE level of DFT.

Cell and atoms, written as POSCAR:
```
Ac2NdTmSe4
1.0
7.3116 0.0000 0.0000
0.0000 4.1819 0.0000
-2.3986 0.0000 7.3360
Ac Nd Tm Se
2 1 1 4
Cartesian
0.0000 0.0000 0.0000 Ac
3.6558 2.0909 0.0000 Ac
-1.1993 2.0909 3.6680 Nd
2.4565 0.0000 3.6680 Tm
0.0998 0.0000 5.3297 Se
1.3018 2.0909 2.0549 Se
3.6112 2.0909 5.2811 Se
4.8131 0.0000 2.0062 Se
```

Output
**ρ**: 8.02 g cm⁻³
**E_form (uncorrected)**: -1796 meV/atom
**SG**: No. 10

=====

[2]
Computed, not measured: an optimized crystal structure of LaSnIrN at the PBE level of DFT.

Cell and atoms, written as POSCAR:
```
LaSnIrN
1.0
4.1756 0.0000 0.0000
0.0000 4.1756 0.0000
0.0000 0.0000 9.3032
La Sn Ir N
2 2 2 2
Cartesian
1.0439 1.0439 1.2884 La
3.1317 3.1317 8.0148 La
1.0439 1.0439 6.1930 Sn
3.1317 3.1317 3.1102 Sn
1.0439 3.1317 4.6516 Ir
3.1317 1.0439 4.6516 Ir
1.0439 1.0439 8.3356 N
3.1317 3.1317 0.9676 N
```

Output
**ρ**: 9.50 g cm⁻³
**E_form (uncorrected)**: -584 meV/atom
**SG**: No. 129

=====

[3]
Computed, not measured: an optimized crystal structure of Li2Er3Au6 at the PBE level of DFT.

Cell and atoms, written as POSCAR:
```
Li2Er3Au6
1.0
-2.2310 2.2310 11.3784
2.2310 -2.2310 11.3784
2.2310 2.2310 -11.3784
Li Er Au
2 3 6
Cartesian
0.0000 0.0000 1.1709 Li
0.0000 0.0000 21.5859 Li
0.0000 0.0000 7.0028 Er
0.0000 0.0000 11.3784 Er
0.0000 0.0000 15.7540 Er
2.2310 0.0000 2.1824 Au
0.0000 0.0000 4.1691 Au
2.2310 0.0000 9.1961 Au
0.0000 2.2310 2.1824 Au
0.0000 0.0000 18.5877 Au
0.0000 2.2310 9.1961 Au
```

Output
**ρ**: 12.44 g cm⁻³
**SG**: No. 139
**Formation energy**: -0.607 eV/atom

=====

[4]
Computed, not measured: an optimized crystal structure of Sr2PdPbAu6 at the PBE level of DFT.

Cell and atoms, written as POSCAR:
```
Sr2PdPbAu6
1.0
0.0000 5.2358 5.2358
5.2358 0.0000 5.2358
5.2358 5.2358 0.0000
Sr Pd Pb Au
2 1 1 6
Cartesian
2.6179 2.6179 2.6179 Sr
7.8537 7.8537 7.8537 Sr
0.0000 0.0000 0.0000 Pd
5.2358 5.2358 5.2358 Pb
5.2358 5.2358 2.5474 Au
5.2358 2.5474 5.2358 Au
7.9242 5.2358 5.2358 Au
2.5474 5.2358 5.2358 Au
5.2358 7.9242 5.2358 Au
5.2358 5.2358 7.9242 Au
```

Output
**ρ**: 9.66 g cm⁻³
**SG**: No. 225
**Formation energy**: -0.178 eV/atom

=====

[5]
Computed, not measured: an optimized crystal structure of CaCo2Ag at the PBE level of DFT.

Cell and atoms, written as POSCAR:
```
CaCo2Ag
1.0
3.0151 0.0000 0.0000
0.0000 4.6949 0.0000
-0.7725 0.0000 5.2230
Ca Co Ag
1 2 1
Cartesian
0.0000 0.0000 0.0000 Ca
0.3584 2.3475 3.4780 Co
1.8843 2.3475 1.7450 Co
1.1213 0.0000 2.6115 Ag
```

Output
**ρ**: 5.97 g cm⁻³
**SG**: No. 10
**Formation energy**: 0.479 eV/atom

=====

[6]
Computed, not measured: an optimized crystal structure of Tb2Sm4Ho at the PBE level of DFT.

Cell and atoms, written as POSCAR:
```
Tb2Sm4Ho
1.0
3.2781 -5.4530 0.0000
3.2781 5.4530 0.0000
0.0000 0.0000 13.1642
Tb Sm Ho
4 8 2
Cartesian
3.2781 3.6962 12.2188 Tb
3.2781 1.7568 5.6367 Tb
3.2781 -1.7568 7.5275 Tb
3.2781 -3.6962 0.9454 Tb
1.6391 0.2559 9.8732 Sm
3.2781 2.9434 8.7366 Sm
3.2781 2.5096 2.1545 Sm
1.6391 -0.2559 3.2911 Sm
4.9172 0.2559 9.8732 Sm
3.2781 -2.5096 11.0097 Sm
3.2781 -2.9434 4.4276 Sm
4.9172 -0.2559 3.2911 Sm
0.0000 0.0000 6.5821 Ho
3.2781 0.0000 0.0000 Ho
```

Output
**ρ**: 7.65 g cm⁻³
**SG**: No. 64
**Formation energy**: 0.196 eV/atom
**Excess energy over the best structure of this formula in the dataset**: 6.6 kJ/mol of atoms

=====

[7]
Computed, not measured: an optimized crystal structure of Ta5Al at the PBE level of DFT.

Cell and atoms, written as POSCAR:
```
Ta5Al
1.0
5.5066 0.0000 0.0000
-2.7533 4.7689 0.0000
0.0000 0.0000 4.6548
Ta Al
5 1
Cartesian
-1.3767 2.3844 0.0000 Ta
0.0000 3.1792 2.3274 Ta
2.7533 0.0000 0.0000 Ta
1.3767 2.3844 0.0000 Ta
2.7533 1.5896 2.3274 Ta
0.0000 0.0000 2.3274 Al
```

Output
**ρ**: 12.66 g cm⁻³
**SG**: No. 191
**Formation energy**: 0.623 eV/atom
**Excess energy over the best structure of this formula in the dataset**: 66.4 kJ/mol of atoms

=====

[8]
Computed, not measured: an optimized crystal structure of Li3U2AuSe6 at the PBE level of DFT.

Cell and atoms, written as POSCAR:
```
Li3U2AuSe6
1.0
3.4739 -5.9604 0.0000
3.4739 5.9604 0.0000
-2.3476 0.0000 6.5555
Li U Au Se
3 2 1 6
Cartesian
0.0000 0.0000 0.0000 Li
3.4739 1.9207 0.0000 Li
3.4739 -1.9207 0.0000 Li
2.3001 3.9673 3.2777 U
2.3001 -3.9673 3.2777 U
2.3001 0.0000 3.2777 Au
1.1118 2.0335 1.6000 Se
-0.1078 0.0000 4.9875 Se
1.1118 -2.0335 1.6000 Se
3.4884 2.0335 4.9555 Se
4.7080 0.0000 1.5680 Se
3.4884 -2.0335 4.9555 Se
```

Output
**ρ**: 7.14 g cm⁻³
**E_form (uncorrected)**: -1004 meV/atom
**SG**: No. 12